PmMgGa4 PBE optimized geometry; space-group type = F-43m; energy of formation = -28 kJ/mol of atoms; density = 6.1 g/cm³; total magnetization = 0.0 μB/f.u.; DOS at the Fermi energy = 4.00 states/eV/cell
1.0
-0.2433 -4.0651 -3.7779
4.4327 -3.2247 -0.8996
-0.0506 -5.3094 1.6324
Mg Ga Pm
1 4 1
Direct
0.2500 0.2500 0.2500
0.6252 0.6252 0.1244
0.6252 0.1244 0.6252
0.6252 0.6252 0.6252
0.1244 0.6252 0.6252
0.0000 0.0000 0.0000